# 1
Density functional theory data (PBE) for a geometry-optimized Pr3InH structure.

Unit cell a=5.058 b=5.058 c=5.058 alpha=90.00 beta=90.00 gamma=90.00
Space group Pm-3m (No. 221)
Unique sites:
Pr  0.000  0.000  0.500 x3
In  0.500  0.500  0.500 x1
H  0.000  0.000  0.000 x1

Output
- Uncorrected energy: -4.44 eV/atom
- Crystal system: cubic
- E above lowest polymorph: 0.0 meV/atom

***

# 2
Density functional theory data (PBE) for a geometry-optimized Pr5In4H structure.

Unit cell a=9.896 b=9.896 c=5.704 alpha=90.00 beta=90.00 gamma=90.00
Space group I4 (No. 79)
Unique sites:
Pr  0.000  0.000  0.000 x2
Pr  0.134  0.786  0.503 x8
In  0.038  0.649  0.003 x8
H  0.000  0.000  0.553 x2

Output
- Uncorrected energy: -4.11 eV/atom
- Crystal system: tetragonal

***

# 3
Density functional theory data (PBE) for a geometry-optimized Pr3In5H12 structure.

Unit cell a=13.266 b=13.266 c=13.266 alpha=90.00 beta=90.00 gamma=90.00
Space group Ia-3d (No. 230)
Unique sites:
Pr  0.000  0.250  0.125 x24
In  0.000  0.000  0.000 x16
In  0.000  0.250  0.375 x24
H  0.008  0.078  0.659 x96

Output
- Uncorrected energy: -3.37 eV/atom
- Crystal system: cubic

***

# 4
Density functional theory data (PBE) for a geometry-optimized Pr3In2H structure.

Unit cell a=14.658 b=6.593 c=6.758 alpha=90.00 beta=99.76 gamma=90.00
Space group C2/c (No. 15)
Unique sites:
Pr  0.000  0.081  0.250 x4
Pr  0.130  0.397  0.604 x8
In  0.180  0.107  0.053 x8
H  0.000  0.443  0.250 x4

Output
- Uncorrected energy: -4.22 eV/atom
- Crystal system: monoclinic

***

# 5
Density functional theory data (PBE) for a geometry-optimized Pr6In3H structure.

Unit cell a=11.516 b=6.834 c=7.613 alpha=90.00 beta=99.49 gamma=90.00
Space group C2/m (No. 12)
Unique sites:
Pr  0.109  0.245  0.352 x8
Pr  0.157  0.000  0.880 x4
In  0.000  0.500  0.000 x2
In  0.156  0.500  0.732 x4
H  0.000  0.000  0.500 x2

Output
- Uncorrected energy: -4.31 eV/atom
- Crystal system: monoclinic

***

# 6
Density functional theory data (PBE) for a geometry-optimized Pr4In2H structure.

Unit cell a=4.814 b=4.814 c=17.399 alpha=90.00 beta=90.00 gamma=90.00
Space group I4/mmm (No. 139)
Unique sites:
Pr  0.000  0.000  0.179 x4
Pr  0.000  0.500  0.000 x4
In  0.000  0.000  0.364 x4
H  0.000  0.000  0.000 x2

Output
- Uncorrected energy: -4.35 eV/atom
- Crystal system: tetragonal

***

# 7
Density functional theory data (PBE) for a geometry-optimized Pr3InH structure.

Unit cell a=9.946 b=16.099 c=6.836 alpha=90.00 beta=90.00 gamma=90.00
Space group Cmce (No. 64)
Unique sites:
Pr  0.000  0.044  0.248 x8
Pr  0.000  0.240  0.513 x8
Pr  0.250  0.107  0.750 x8
In  0.250  0.170  0.250 x8
H  0.000  0.089  0.588 x8

Output
- Uncorrected energy: -4.35 eV/atom
- Crystal system: orthorhombic
- E above lowest polymorph: 92.5 meV/atom

***

# 8
Density functional theory data (PBE) for a geometry-optimized Pr2InH12Rh3 structure.

Unit cell a=6.4185 b=6.4185 c=14.4555 alpha=90.00 beta=90.00 gamma=120.00
Space group R-3m (No. 166, hexagonal axes)
Unique sites:
Pr  0.0000  0.0000  0.1154 x6
In  0.0000  0.0000  0.5000 x3
H  0.0181  0.5090  0.8842 x18
H  0.0302  0.5151  0.3377 x18
Rh  0.0000  0.5000  0.0000 x9

Output
- Uncorrected energy: -4.33 eV/atom
- Crystal system: trigonal

***

# 9
Density functional theory data (PBE) for a geometry-optimized PrInH8Ru2 structure.

Unit cell a=8.385 b=4.424 c=6.402 alpha=90.00 beta=112.49 gamma=90.00
Space group C2/m (No. 12)
Unique sites:
Pr  0.000  0.000  0.000 x2
In  0.000  0.500  0.500 x2
H  0.079  0.500  0.167 x4
H  0.190  0.245  0.829 x8
H  0.205  0.000  0.380 x4
Ru  0.215  0.000  0.646 x4

Output
- Uncorrected energy: -4.60 eV/atom
- Crystal system: monoclinic

***

# 10
Density functional theory data (PBE) for a geometry-optimized PrSm2InH structure.

Unit cell a=5.018 b=5.018 c=4.911 alpha=90.00 beta=90.00 gamma=90.00
Space group P4/mmm (No. 123)
Unique sites:
Pr  0.000  0.000  0.000 x1
Sm  0.000  0.500  0.500 x2
In  0.500  0.500  0.000 x1
H  0.000  0.000  0.500 x1

Output
- Uncorrected energy: -4.42 eV/atom
- Crystal system: tetragonal

***

# 11
Density functional theory data (PBE) for a geometry-optimized Pr4InSnH structure.

Unit cell a=6.718 b=17.733 c=6.694 alpha=90.00 beta=90.00 gamma=90.00
Space group Cmcm (No. 63)
Unique sites:
Pr  0.000  0.070  0.250 x4
Pr  0.000  0.429  0.250 x4
Pr  0.250  0.250  0.000 x8
In  0.000  0.114  0.750 x4
Sn  0.000  0.387  0.750 x4
H  0.000  0.208  0.250 x4

Output
- Uncorrected energy: -4.68 eV/atom
- Crystal system: orthorhombic

***

# 12
Density functional theory data (PBE) for a geometry-optimized Pr4TlInH structure.

Unit cell a=6.752 b=17.610 c=6.764 alpha=90.00 beta=90.00 gamma=90.00
Space group Cmcm (No. 63)
Unique sites:
Pr  0.000  0.070  0.250 x4
Pr  0.000  0.430  0.250 x4
Pr  0.250  0.250  0.000 x8
Tl  0.000  0.113  0.750 x4
In  0.000  0.386  0.750 x4
H  0.000  0.292  0.250 x4

Output
- Uncorrected energy: -4.29 eV/atom
- Crystal system: orthorhombic

***

# 13
Density functional theory data (PBE) for a geometry-optimized InH8Pt6 structure.

Unit cell a=7.4370 b=7.4370 c=10.7209 alpha=90.00 beta=90.00 gamma=120.00
Space group R-3 (No. 148, hexagonal axes)
Unique sites:
In  0.0000  0.0000  0.0000 x3
H  0.0000  0.0000  0.2625 x6
H  0.0386  0.2389  0.4171 x18
Pt  0.0492  0.2450  0.6623 x18

Output
- Uncorrected energy: -4.33 eV/atom
- Crystal system: trigonal

***

# 14
Density functional theory data (PBE) for a geometry-optimized InH3Pt3 structure.

Unit cell a=8.0745 b=8.0745 c=8.7949 alpha=90.00 beta=90.00 gamma=120.00
Space group R-3 (No. 148, hexagonal axes)
Unique sites:
In  0.0000  0.0000  0.1920 x6
H  0.0743  0.2532  0.5756 x18
Pt  0.0022  0.6738  0.9215 x18

Output
- Uncorrected energy: -4.50 eV/atom
- Crystal system: trigonal

***

# 15
Density functional theory data (PBE) for a geometry-optimized In12H5Pt3 structure.

Unit cell a=14.628 b=14.628 c=14.628 alpha=90.00 beta=90.00 gamma=90.00
Space group Ia-3d (No. 230)
Unique sites:
In  0.033  0.062  0.652 x96
H  0.000  0.000  0.000 x16
H  0.000  0.250  0.375 x24
Pt  0.000  0.250  0.125 x24

Output
- Uncorrected energy: -3.33 eV/atom
- Crystal system: cubic